1.
# PrAgAu PBE-GGA optimized geometry
data_PrAgAu
_cell_length_a 5.9805
_cell_length_b 5.9805
_cell_length_c 5.9805
_cell_angle_alpha 132.92
_cell_angle_beta 92.00
_cell_angle_gamma 106.51
_space_group_name_H-M_alt 'P 1'
_space_group_IT_number 1
_space_group_name_Hall 'P 1'
loop_
_atom_site_label
_atom_site_fract_x
_atom_site_fract_y
_atom_site_fract_z
_atom_site_occupancy
Au1 0.8036 0.9647 0.3389 1
Au2 0.6258 0.4647 0.6611 1
Pr1 0.2107 0.7463 0.9644 1
Pr2 0.7819 0.2463 0.0356 1
Ag1 0.2065 0.0390 0.6675 1
Ag2 0.3715 0.5390 0.3325 1
# Offset from the most stable computed form = 7 meV/atom
# Energy of formation = -1.62 eV/f.u.
# Electronic total energy = -4.16 eV per atom
# Total magnetic moment = 0.001 μB per formula unit



2.
# Zr2ScAl3Cu3 PBE-GGA optimized geometry
data_Zr2ScAl3Cu3
_cell_length_a 3.9286
_cell_length_b 6.5931
_cell_length_c 6.5931
_cell_angle_alpha 119.37
_cell_angle_beta 90.00
_cell_angle_gamma 90.00
_space_group_name_H-M_alt 'P 1'
_space_group_IT_number 1
_space_group_name_Hall 'P 1'
loop_
_atom_site_label
_atom_site_fract_x
_atom_site_fract_y
_atom_site_fract_z
_atom_site_occupancy
Al1 0.5000 0.7556 0.7556 1
Al2 0.5000 0.2469 0.9964 1
Al3 0.5000 0.9964 0.2469 1
Cu1 0.0000 0.0040 0.0040 1
Cu2 0.5000 0.6640 0.3336 1
Cu3 0.5000 0.3336 0.6640 1
Sc1 0.0000 0.4138 0.4138 1
Zr1 0.0000 0.5851 0.0006 1
Zr2 0.0000 0.0006 0.5851 1
# Electronic total energy = -5.53 eV per atom
# Total magnetic moment = 0.005 μB per formula unit



3.
# Si2AsAu PBE-GGA optimized geometry
data_Si2AsAu
_cell_length_a 4.6174
_cell_length_b 4.6174
_cell_length_c 4.6174
_cell_angle_alpha 60.00
_cell_angle_beta 60.00
_cell_angle_gamma 60.00
_space_group_name_H-M_alt 'P 1'
_space_group_IT_number 1
_space_group_name_Hall 'P 1'
loop_
_atom_site_label
_atom_site_fract_x
_atom_site_fract_y
_atom_site_fract_z
_atom_site_occupancy
Si1 0.7500 0.7500 0.7500 1
Si2 0.0000 0.0000 0.0000 1
Au1 0.2500 0.2500 0.2500 1
As1 0.5000 0.5000 0.5000 1
# Electronic total energy = -4.18 eV per atom



4.
# LuCoNiSb PBE-GGA optimized geometry
data_LuCoNiSb
_cell_length_a 4.4833
_cell_length_b 4.4833
_cell_length_c 4.4833
_cell_angle_alpha 60.00
_cell_angle_beta 60.00
_cell_angle_gamma 60.00
_space_group_name_H-M_alt 'P 1'
_space_group_IT_number 1
_space_group_name_Hall 'P 1'
loop_
_atom_site_label
_atom_site_fract_x
_atom_site_fract_y
_atom_site_fract_z
_atom_site_occupancy
Ni1 0.2500 0.2500 0.2500 1
Co1 0.7500 0.7500 0.7500 1
Sb1 0.0000 0.0000 0.0000 1
Lu1 0.5000 0.5000 0.5000 1
# Offset from the most stable computed form = 0 meV/atom
# Electronic total energy = -5.71 eV per atom
# Total magnetic moment = 0.035 μB per formula unit



5.
# TaInFeHg PBE-GGA optimized geometry
data_TaInFeHg
_cell_length_a 4.6273
_cell_length_b 4.6273
_cell_length_c 4.6273
_cell_angle_alpha 60.00
_cell_angle_beta 60.00
_cell_angle_gamma 60.00
_space_group_name_H-M_alt 'P 1'
_space_group_IT_number 1
_space_group_name_Hall 'P 1'
loop_
_atom_site_label
_atom_site_fract_x
_atom_site_fract_y
_atom_site_fract_z
_atom_site_occupancy
In1 0.0000 0.0000 0.0000 1
Hg1 0.2500 0.2500 0.2500 1
Ta1 0.5000 0.5000 0.5000 1
Fe1 0.7500 0.7500 0.7500 1
# Offset from the most stable computed form = 0 meV/atom
# Electronic total energy = -5.29 eV per atom
# Total magnetic moment = 1.269 μB per formula unit



6.
# Nb2B2O5 PBE-GGA optimized geometry
data_Nb2B2O5
_cell_length_a 7.5841
_cell_length_b 3.2533
_cell_length_c 3.2533
_cell_angle_alpha 90.00
_cell_angle_beta 90.00
_cell_angle_gamma 90.00
_space_group_name_H-M_alt 'P 1'
_space_group_IT_number 1
_space_group_name_Hall 'P 1'
loop_
_atom_site_label
_atom_site_fract_x
_atom_site_fract_y
_atom_site_fract_z
_atom_site_occupancy
O1 0.5000 0.5000 0.5000 1
O2 0.8074 0.0000 0.5000 1
O3 0.8074 0.5000 0.0000 1
O4 0.1926 0.0000 0.5000 1
O5 0.1926 0.5000 0.0000 1
B1 0.1296 0.5000 0.5000 1
B2 0.8703 0.5000 0.5000 1
Nb1 0.0000 0.0000 0.0000 1
Nb2 0.5000 0.0000 0.0000 1
# Offset from the most stable computed form = 0 meV/atom
# Electronic total energy = -7.36 eV per atom
# Total magnetic moment = 1.732 μB per formula unit



7.
# NdCoSi2Ag PBE-GGA optimized geometry
data_NdCoSi2Ag
_cell_length_a 5.8634
_cell_length_b 5.8634
_cell_length_c 5.8634
_cell_angle_alpha 138.66
_cell_angle_beta 138.66
_cell_angle_gamma 59.89
_space_group_name_H-M_alt 'P 1'
_space_group_IT_number 1
_space_group_name_Hall 'P 1'
loop_
_atom_site_label
_atom_site_fract_x
_atom_site_fract_y
_atom_site_fract_z
_atom_site_occupancy
Si1 0.3680 0.8680 0.5000 1
Si2 0.1320 0.6320 0.5000 1
Co1 0.5000 0.5000 0.0000 1
Ag1 0.0000 0.0000 0.0000 1
Nd1 0.7500 0.2500 0.5000 1
# Electronic total energy = -5.57 eV per atom
# Total magnetic moment = 1.037 μB per formula unit



8.
# RbHoSnTe3 PBE-GGA optimized geometry
data_RbHoSnTe3
_cell_length_a 8.9712
_cell_length_b 8.9712
_cell_length_c 12.7612
_cell_angle_alpha 90.00
_cell_angle_beta 90.00
_cell_angle_gamma 151.75
_space_group_name_H-M_alt 'P 1'
_space_group_IT_number 1
_space_group_name_Hall 'P 1'
loop_
_atom_site_label
_atom_site_fract_x
_atom_site_fract_y
_atom_site_fract_z
_atom_site_occupancy
Te1 0.6224 0.3776 0.9941 1
Te2 0.3776 0.6224 0.0059 1
Te3 0.6224 0.3776 0.5059 1
Te4 0.0115 0.9885 0.2500 1
Te5 0.3776 0.6224 0.4941 1
Te6 0.9885 0.0115 0.7500 1
Ho1 0.0000 0.0000 0.0000 1
Ho2 0.0000 0.0000 0.5000 1
Sn1 0.6030 0.3970 0.7500 1
Sn2 0.3970 0.6030 0.2500 1
Rb1 0.2903 0.7097 0.7500 1
Rb2 0.7097 0.2903 0.2500 1
# Electronic total energy = -4.04 eV per atom
# Total magnetic moment = 0.003 μB per formula unit



9.
# RbHoHgO3 PBE-GGA optimized geometry
data_RbHoHgO3
_cell_length_a 7.2958
_cell_length_b 7.2958
_cell_length_c 8.9827
_cell_angle_alpha 90.00
_cell_angle_beta 90.00
_cell_angle_gamma 28.34
_space_group_name_H-M_alt 'P 1'
_space_group_IT_number 1
_space_group_name_Hall 'P 1'
loop_
_atom_site_label
_atom_site_fract_x
_atom_site_fract_y
_atom_site_fract_z
_atom_site_occupancy
Rb1 0.3164 0.3164 0.7500 1
Rb2 0.6836 0.6836 0.2500 1
Ho1 0.0000 0.0000 0.0000 1
Ho2 0.0000 0.0000 0.5000 1
O1 0.6040 0.6040 0.5222 1
O2 0.3960 0.3960 0.0222 1
O3 0.9731 0.9731 0.7500 1
O4 0.0269 0.0269 0.2500 1
O5 0.6040 0.6040 0.9778 1
O6 0.3960 0.3960 0.4778 1
Hg1 0.3947 0.3947 0.2500 1
Hg2 0.6053 0.6053 0.7500 1
# Electronic total energy = -5.33 eV per atom
# Total magnetic moment = 0.002 μB per formula unit



10.
# LuTlCoNi PBE-GGA optimized geometry
data_LuTlCoNi
_cell_length_a 4.6312
_cell_length_b 4.6312
_cell_length_c 4.6312
_cell_angle_alpha 60.00
_cell_angle_beta 60.00
_cell_angle_gamma 60.00
_space_group_name_H-M_alt 'P 1'
_space_group_IT_number 1
_space_group_name_Hall 'P 1'
loop_
_atom_site_label
_atom_site_fract_x
_atom_site_fract_y
_atom_site_fract_z
_atom_site_occupancy
Ni1 0.5000 0.5000 0.5000 1
Tl1 0.0000 0.0000 0.0000 1
Lu1 0.2500 0.2500 0.2500 1
Co1 0.7500 0.7500 0.7500 1
# Offset from the most stable computed form = 264 meV/atom
# Electronic total energy = -4.72 eV per atom
# Total magnetic moment = 1.448 μB per formula unit



11.
# GdNi2Te PBE-GGA optimized geometry
data_GdNi2Te
_cell_length_a 4.1978
_cell_length_b 6.2061
_cell_length_c 5.5706
_cell_angle_alpha 90.00
_cell_angle_beta 90.00
_cell_angle_gamma 90.00
_space_group_name_H-M_alt 'P 1'
_space_group_IT_number 1
_space_group_name_Hall 'P 1'
loop_
_atom_site_label
_atom_site_fract_x
_atom_site_fract_y
_atom_site_fract_z
_atom_site_occupancy
Te1 0.0000 0.6133 0.6391 1
Te2 0.5000 0.3867 0.1391 1
Gd1 0.0000 0.0893 0.8645 1
Gd2 0.5000 0.9107 0.3645 1
Ni1 0.5000 0.3512 0.6243 1
Ni2 0.5000 0.7450 0.8721 1
Ni3 0.0000 0.6488 0.1243 1
Ni4 0.0000 0.2550 0.3721 1
# Offset from the most stable computed form = 0 meV/atom
# Electronic total energy = -5.20 eV per atom
# Total magnetic moment = 0.000 μB per formula unit



12.
# BW2N5 PBE-GGA optimized geometry
data_BW2N5
_cell_length_a 5.2326
_cell_length_b 5.2326
_cell_length_c 7.4759
_cell_angle_alpha 110.45
_cell_angle_beta 110.45
_cell_angle_gamma 90.00
_space_group_name_H-M_alt 'P 1'
_space_group_IT_number 1
_space_group_name_Hall 'P 1'
loop_
_atom_site_label
_atom_site_fract_x
_atom_site_fract_y
_atom_site_fract_z
_atom_site_occupancy
N1 0.2032 0.6935 0.3868 1
N2 0.3065 0.7968 0.1132 1
N3 0.3160 0.3067 0.6136 1
N4 0.6840 0.6933 0.3864 1
N5 0.7968 0.3065 0.6132 1
N6 0.3067 0.3160 0.1136 1
N7 0.1253 0.8747 0.7500 1
N8 0.8747 0.1253 0.2500 1
N9 0.6933 0.6840 0.8864 1
N10 0.6935 0.2033 0.8868 1
W1 0.0000 0.0000 0.0000 1
W2 0.0000 0.5000 0.5000 1
W3 0.0000 0.0000 0.5000 1
W4 0.5000 0.0000 0.0000 1
B1 0.3750 0.6250 0.2500 1
B2 0.6250 0.3750 0.7500 1
# Offset from the most stable computed form = 249 meV/atom
# Electronic total energy = -9.33 eV per atom
# Total magnetic moment = 0.001 μB per formula unit



Repeat the first record exactly.
# PrAgAu PBE-GGA optimized geometry
data_PrAgAu
_cell_length_a 5.9805
_cell_length_b 5.9805
_cell_length_c 5.9805
_cell_angle_alpha 132.92
_cell_angle_beta 92.00
_cell_angle_gamma 106.51
_space_group_name_H-M_alt 'P 1'
_space_group_IT_number 1
_space_group_name_Hall 'P 1'
loop_
_atom_site_label
_atom_site_fract_x
_atom_site_fract_y
_atom_site_fract_z
_atom_site_occupancy
Au1 0.8036 0.9647 0.3389 1
Au2 0.6258 0.4647 0.6611 1
Pr1 0.2107 0.7463 0.9644 1
Pr2 0.7819 0.2463 0.0356 1
Ag1 0.2065 0.0390 0.6675 1
Ag2 0.3715 0.5390 0.3325 1
# Offset from the most stable computed form = 7 meV/atom
# Energy of formation = -1.62 eV/f.u.
# Electronic total energy = -4.16 eV per atom
# Total magnetic moment = 0.001 μB per formula unit